(1)
{
  "formula": "TlInPb2",
  "functional": "PBE-GGA",
  "state": "optimized geometry",
  "magmom_total_mub_per_fu": 0.000,
  "de_polymorph_mev_per_atom": 0,
  "total_energy_ev_per_atom": -3.1295,
  "lattice_angstrom": [[3.493, 0.000, 0.000], [0.000, 3.493, 0.000], [0.000, 0.000, 10.004]],
  "species": ["Tl", "In", "Pb", "Pb"],
  "fractional_positions": [[0.000, 0.000, 0.000], [0.500, 0.500, 0.248], [0.000, 0.000, 0.492], [0.500, 0.500, 0.741]]
}


(2)
{
  "formula": "Tl16In6Pb7",
  "functional": "PBE-GGA",
  "state": "optimized geometry",
  "magmom_total_mub_per_fu": 0.000,
  "total_energy_ev_per_atom": -2.7180,
  "lattice_angstrom": [[0.000, 7.731, 7.731], [7.731, 0.000, 7.731], [7.731, 7.731, 0.000]],
  "species": ["Tl", "Tl", "Tl", "Tl", "Tl", "Tl", "Tl", "Tl", "Tl", "Tl", "Tl", "Tl", "Tl", "Tl", "Tl", "Tl", "In", "In", "In", "In", "In", "In", "Pb", "Pb", "Pb", "Pb", "Pb", "Pb", "Pb"],
  "fractional_positions": [[0.107, 0.631, 0.631], [0.117, 0.117, 0.117], [0.117, 0.117, 0.649], [0.117, 0.649, 0.117], [0.351, 0.883, 0.883], [0.369, 0.369, 0.369], [0.369, 0.369, 0.893], [0.369, 0.893, 0.369], [0.631, 0.107, 0.631], [0.631, 0.631, 0.107], [0.631, 0.631, 0.631], [0.649, 0.117, 0.117], [0.883, 0.351, 0.883], [0.883, 0.883, 0.351], [0.883, 0.883, 0.883], [0.893, 0.369, 0.369], [0.261, 0.261, 0.739], [0.261, 0.739, 0.261], [0.261, 0.739, 0.739], [0.739, 0.261, 0.261], [0.739, 0.261, 0.739], [0.739, 0.739, 0.261], [0.000, 0.000, 0.500], [0.000, 0.500, 0.000], [0.000, 0.500, 0.500], [0.500, 0.000, 0.000], [0.500, 0.000, 0.500], [0.500, 0.500, 0.000], [0.500, 0.500, 0.500]]
}


(3)
{
  "formula": "Tl3In2Pb6",
  "functional": "PBE-GGA",
  "state": "optimized geometry",
  "magmom_total_mub_per_fu": 0.000,
  "total_energy_ev_per_atom": -3.0727,
  "lattice_angstrom": [[-5.714, 5.714, 5.714], [5.714, -5.714, 5.714], [5.714, 5.714, -5.714]],
  "species": ["Tl", "Tl", "Tl", "Tl", "Tl", "Tl", "In", "In", "In", "In", "Pb", "Pb", "Pb", "Pb", "Pb", "Pb", "Pb", "Pb", "Pb", "Pb", "Pb", "Pb"],
  "fractional_positions": [[0.000, 0.252, 0.252], [0.000, 0.748, 0.748], [0.252, 0.000, 0.252], [0.252, 0.252, 0.000], [0.748, 0.000, 0.748], [0.748, 0.748, 0.000], [0.000, 0.000, 0.500], [0.000, 0.500, 0.000], [0.500, 0.000, 0.000], [0.500, 0.500, 0.500], [0.000, 0.350, 0.650], [0.000, 0.650, 0.350], [0.299, 0.650, 0.650], [0.350, 0.000, 0.650], [0.350, 0.350, 0.701], [0.350, 0.650, 0.000], [0.350, 0.701, 0.350], [0.650, 0.000, 0.350], [0.650, 0.299, 0.650], [0.650, 0.350, 0.000], [0.650, 0.650, 0.299], [0.701, 0.350, 0.350]]
}


(4)
{
  "formula": "TlIn4Pb4",
  "functional": "PBE-GGA",
  "state": "optimized geometry",
  "magmom_total_mub_per_fu": 0.000,
  "de_polymorph_mev_per_atom": 106,
  "total_energy_ev_per_atom": -3.0069,
  "lattice_angstrom": [[7.160, 0.000, 0.000], [0.000, 7.160, 0.000], [0.000, 0.000, 11.584]],
  "species": ["Tl", "Tl", "In", "In", "In", "In", "In", "In", "In", "In", "Pb", "Pb", "Pb", "Pb", "Pb", "Pb", "Pb", "Pb"],
  "fractional_positions": [[0.250, 0.750, 0.250], [0.750, 0.250, 0.750], [0.003, 0.250, 0.020], [0.250, 0.003, 0.520], [0.250, 0.497, 0.520], [0.497, 0.250, 0.020], [0.503, 0.750, 0.980], [0.750, 0.503, 0.480], [0.750, 0.997, 0.480], [0.997, 0.750, 0.980], [0.030, 0.250, 0.320], [0.250, 0.030, 0.820], [0.250, 0.470, 0.820], [0.470, 0.250, 0.320], [0.530, 0.750, 0.680], [0.750, 0.530, 0.180], [0.750, 0.970, 0.180], [0.970, 0.750, 0.680]]
}


(5)
{
  "formula": "TlIn2Pb",
  "functional": "PBE-GGA",
  "state": "optimized geometry",
  "magmom_total_mub_per_fu": 0.000,
  "de_polymorph_mev_per_atom": 20,
  "total_energy_ev_per_atom": -2.8719,
  "lattice_angstrom": [[5.218, 0.000, 0.000], [0.000, 5.218, 0.000], [0.000, 0.000, 4.299]],
  "species": ["Tl", "In", "In", "Pb"],
  "fractional_positions": [[0.000, 0.000, 0.000], [0.000, 0.500, 0.500], [0.500, 0.000, 0.500], [0.500, 0.500, 0.000]]
}


(6)
{
  "formula": "TlIn2Pb",
  "functional": "PBE-GGA",
  "state": "optimized geometry",
  "magmom_total_mub_per_fu": 0.000,
  "de_polymorph_mev_per_atom": 0,
  "total_energy_ev_per_atom": -2.8916,
  "lattice_angstrom": [[1.706, 0.985, 11.579], [-1.706, 0.985, 11.579], [0.000, -1.969, 11.579]],
  "species": ["Tl", "In", "In", "Pb"],
  "fractional_positions": [[0.000, 0.000, 0.000], [0.490, 0.490, 0.490], [0.747, 0.747, 0.747], [0.243, 0.243, 0.243]]
}


(7)
{
  "formula": "TlIn6Pb2",
  "functional": "PBE-GGA",
  "state": "optimized geometry",
  "magmom_total_mub_per_fu": 0.000,
  "de_polymorph_mev_per_atom": 0,
  "total_energy_ev_per_atom": -2.8955,
  "lattice_angstrom": [[5.367, -2.554, 0.000], [5.367, 2.554, 0.000], [-2.673, 0.000, 9.449]],
  "species": ["Tl", "In", "In", "In", "In", "In", "In", "Pb", "Pb"],
  "fractional_positions": [[0.000, 0.000, 0.000], [0.004, 0.004, 0.339], [0.336, 0.336, 0.441], [0.338, 0.338, 0.116], [0.662, 0.662, 0.884], [0.664, 0.664, 0.559], [0.996, 0.996, 0.661], [0.327, 0.327, 0.773], [0.673, 0.673, 0.227]]
}


(8)
{
  "formula": "TlIn4Pb",
  "functional": "PBE-GGA",
  "state": "optimized geometry",
  "magmom_total_mub_per_fu": 0.000,
  "de_polymorph_mev_per_atom": 117,
  "total_energy_ev_per_atom": -2.7047,
  "lattice_angstrom": [[2.703, -8.545, 0.000], [2.703, 8.545, 0.000], [0.000, 0.000, 8.317]],
  "species": ["Tl", "Tl", "In", "In", "In", "In", "In", "In", "In", "In", "Pb", "Pb"],
  "fractional_positions": [[0.136, 0.864, 0.750], [0.864, 0.136, 0.250], [0.047, 0.953, 0.250], [0.252, 0.748, 0.076], [0.252, 0.748, 0.424], [0.500, 0.500, 0.000], [0.500, 0.500, 0.500], [0.748, 0.252, 0.576], [0.748, 0.252, 0.924], [0.953, 0.047, 0.750], [0.353, 0.647, 0.750], [0.647, 0.353, 0.250]]
}


(9)
{
  "formula": "Tl2In6Pb3",
  "functional": "PBE-GGA",
  "state": "optimized geometry",
  "magmom_total_mub_per_fu": 0.000,
  "total_energy_ev_per_atom": -2.9135,
  "lattice_angstrom": [[1.710, 0.987, 31.790], [-1.710, 0.987, 31.790], [0.000, -1.975, 31.790]],
  "species": ["Tl", "Tl", "In", "In", "In", "In", "In", "In", "Pb", "Pb", "Pb"],
  "fractional_positions": [[0.045, 0.045, 0.045], [0.955, 0.955, 0.955], [0.136, 0.136, 0.136], [0.319, 0.319, 0.319], [0.408, 0.408, 0.408], [0.592, 0.592, 0.592], [0.681, 0.681, 0.681], [0.864, 0.864, 0.864], [0.228, 0.228, 0.228], [0.500, 0.500, 0.500], [0.772, 0.772, 0.772]]
}


(10)
{
  "formula": "Tl2InPb3",
  "functional": "PBE-GGA",
  "state": "optimized geometry",
  "magmom_total_mub_per_fu": 0.000,
  "de_polymorph_mev_per_atom": 0,
  "total_energy_ev_per_atom": -3.0678,
  "lattice_angstrom": [[9.566, 0.000, 0.000], [0.000, 3.420, 0.000], [-2.952, 0.000, 11.475]],
  "species": ["Tl", "Tl", "Tl", "Tl", "In", "In", "Pb", "Pb", "Pb", "Pb", "Pb", "Pb"],
  "fractional_positions": [[0.018, 0.250, 0.372], [0.105, 0.250, 0.118], [0.895, 0.750, 0.882], [0.982, 0.750, 0.628], [0.210, 0.250, 0.871], [0.790, 0.750, 0.129], [0.301, 0.250, 0.624], [0.387, 0.250, 0.362], [0.434, 0.750, 0.109], [0.566, 0.250, 0.891], [0.613, 0.750, 0.638], [0.699, 0.750, 0.376]]
}


(11)
{
  "formula": "Tl7In12Pb",
  "functional": "PBE-GGA",
  "state": "optimized geometry",
  "magmom_total_mub_per_fu": 0.000,
  "total_energy_ev_per_atom": -2.6059,
  "lattice_angstrom": [[6.911, 0.000, 0.000], [-1.714, 9.860, 0.000], [-2.383, -4.846, 8.841]],
  "species": ["Tl", "Tl", "Tl", "Tl", "Tl", "Tl", "Tl", "In", "In", "In", "In", "In", "In", "In", "In", "In", "In", "In", "In", "Pb"],
  "fractional_positions": [[0.000, 0.000, 0.000], [0.260, 0.519, 0.807], [0.303, 0.199, 0.846], [0.419, 0.177, 0.529], [0.581, 0.823, 0.471], [0.697, 0.801, 0.154], [0.740, 0.481, 0.193], [0.077, 0.798, 0.697], [0.085, 0.851, 0.430], [0.203, 0.544, 0.447], [0.207, 0.481, 0.117], [0.214, 0.811, 0.147], [0.397, 0.281, 0.267], [0.603, 0.719, 0.733], [0.786, 0.189, 0.853], [0.793, 0.519, 0.883], [0.797, 0.456, 0.553], [0.915, 0.149, 0.570], [0.923, 0.202, 0.303], [0.500, 0.000, 0.000]]
}


(12)
{
  "formula": "Tl2In2Pb",
  "functional": "PBE-GGA",
  "state": "optimized geometry",
  "magmom_total_mub_per_fu": 0.000,
  "de_polymorph_mev_per_atom": 51,
  "total_energy_ev_per_atom": -2.7166,
  "lattice_angstrom": [[8.912, 0.000, 0.000], [0.000, 8.912, 0.000], [0.000, 0.000, 3.798]],
  "species": ["Tl", "Tl", "Tl", "Tl", "In", "In", "In", "In", "Pb", "Pb"],
  "fractional_positions": [[0.169, 0.331, 0.000], [0.331, 0.831, 0.000], [0.669, 0.169, 0.000], [0.831, 0.669, 0.000], [0.131, 0.631, 0.500], [0.369, 0.131, 0.500], [0.631, 0.869, 0.500], [0.869, 0.369, 0.500], [0.000, 0.000, 0.500], [0.500, 0.500, 0.500]]
}